Record 1
A relaxed structure of TaFePb, computed with GGA-PBE.

Geometry as POSCAR:
```
TaFePb
1.0
-4.908 -2.267 -2.749
-2.646 -4.357 -3.287
-1.282 -1.927 2.101
Pb Fe Ta
1 1 1
direct
0.345 0.345 0.655
0.021 0.021 0.979
0.634 0.634 0.366
```

Energy of formation, eV per atom: 0.388
Polymorph energy (0 for the lowest one), eV per atom: 0.0320
Total moment, μB per atom: 0.329
Fermi-level density of states, states/eV/f.u.: 2.53
Calculated volume, Å³ per cell: 55.2

---

Record 2
A relaxed structure of Ta2FePb, computed with GGA-PBE.

Geometry as POSCAR:
```
Ta2FePb
1.0
-3.780 -0.524 0.794
-0.577 -1.610 -3.811
0.882 -3.999 1.556
Fe Ta Pb
1 2 1
direct
0.500 0.000 0.500
0.000 0.000 0.000
0.500 0.500 0.000
0.000 0.500 0.500
```

Energy of formation, eV per atom: 0.355
Total moment, μB per atom: 0.527
Fermi-level density of states, states/eV/f.u.: 2.91
Calculated volume, Å³ per cell: 71.3

---

Record 3
A relaxed structure of Ta2FePb, computed with GGA-PBE.

Geometry as POSCAR:
```
Ta2FePb
1.0
4.149 0.000 0.000
0.000 3.084 -0.004
0.000 1.548 5.773
Fe Ta Pb
1 2 1
direct
0.000 0.719 0.437
0.500 0.297 0.281
0.000 0.919 0.037
0.500 0.565 0.745
```

Energy of formation, eV per atom: 0.381
Total moment, μB per atom: 0.000
Fermi-level density of states, states/eV/f.u.: 3.03
Calculated volume, Å³ per cell: 73.9

---

Record 4
A relaxed structure of TaFePb, computed with GGA-PBE.

Geometry as POSCAR:
```
TaFePb
1.0
-0.122 1.561 4.031
-1.065 -2.594 3.292
3.005 -1.193 2.873
Fe Pb Ta
1 1 1
direct
0.750 0.750 0.750
0.000 0.000 0.000
0.500 0.500 0.500
```

Energy of formation, eV per atom: 0.356
Polymorph energy (0 for the lowest one), eV per atom: 0.0000
Total moment, μB per atom: 0.336
Fermi-level density of states, states/eV/f.u.: 2.23
Calculated volume, Å³ per cell: 57.2